Entry 1:
This record from the Alexandria database describes crystalline CePaPO2 at its relaxed geometry. The functional is PBE.

**Volume**: 17.43 Å³ per atom
**Size of the total moment**: 1.875 μB/f.u.
**E_form (uncorrected)**: -2606.3 meV per atom
**Electronic total energy**: -87.57 eV/cell

a b c (Å): 3.7869 3.7869 12.1551
angles (deg): 90.00 90.00 90.00
Closest atoms and distances in Å follow each position.
Space group I4mm (No. 107)
Unique sites:
Ce 0.0000 0.0000 0.0000 (multiplicity 2)  4 O 2.39
Pa 0.0000 0.0000 0.2769 (multiplicity 2)  4 O 2.27
P 0.0000 0.0000 0.6430 (multiplicity 2)  4 Pa 3.13, 4 Ce 3.19, 4 O 3.45
O 0.0000 0.5000 0.3800 (multiplicity 4)  2 Pa 2.27, 2 Ce 2.39

Entry 2:
This record from the Alexandria database describes crystalline Ce2PrZn2Au2 at its relaxed geometry. The functional is PBE.

**Volume**: 22.84 Å³ per atom
**Size of the total moment**: 0.017 μB/f.u.
**Energy relative to the elements**: -487 meV/atom
**Electronic total energy**: -87.47 eV/cell

a b c (Å): 4.5130 4.5130 27.1990
angles (deg): 90.00 90.00 120.00
Closest atoms and distances in Å follow each position.
Space group R-3m (No. 166, hexagonal axes)
Unique sites:
Ce 0.0000 0.0000 0.1404 (multiplicity 6)  3 Ce 2.97, 3 Zn 3.15, 4 Au 3.17-3.24
Pr 0.0000 0.0000 0.0000 (multiplicity 3)  6 Au 3.29, 6 Zn 3.31
Zn 0.0000 0.0000 0.4085 (multiplicity 6)  3 Au 2.61
Au 0.0000 0.0000 0.2594 (multiplicity 6)  3 Zn 2.61

Entry 3:
This record from the Alexandria database describes crystalline HoMg3Fe8 at its relaxed geometry. The functional is PBE.

**Volume**: 14.42 Å³ per atom
**Size of the total moment**: 16.131 μB/f.u.
**Energy relative to the elements**: 35 meV/atom
**Electronic total energy**: -229.92 eV/cell

a b c (Å): 4.9723 4.9723 24.2530
angles (deg): 90.00 90.00 120.00
Closest atoms and distances in Å follow each position.
Space group R3m (No. 160, hexagonal axes)
Unique sites:
Ho 0.0000 0.0000 0.0000 (multiplicity 3)  12 Fe 2.92-2.95, 4 Mg 3.07-3.08
Mg 0.0000 0.0000 0.1270 (multiplicity 3)  12 Fe 2.82-2.92, 3 Mg 3.02, 1 Ho 3.08
Mg 0.0000 0.0000 0.4992 (multiplicity 3)  12 Fe 2.86-2.91, 4 Mg 2.97-3.02
Mg 0.0000 0.0000 0.6215 (multiplicity 3)  12 Fe 2.89-3.01, 1 Mg 2.97, 3 Ho 3.07
Fe 0.0000 0.0000 0.3120 (multiplicity 3)  6 Fe 2.50-2.51
Fe 0.0000 0.0000 0.8118 (multiplicity 3)  6 Fe 2.44-2.46
Fe 0.0003 0.5002 0.0638 (multiplicity 9)  6 Fe 2.44-2.51
Fe 0.1671 0.3342 0.8939 (multiplicity 9)  6 Fe 2.46-2.50

Entry 4:
This record from the Alexandria database describes crystalline CrNi2Pt at its relaxed geometry. The functional is PBE.

**Volume**: 12.41 Å³ per atom
**Size of the total moment**: 1.581 μB/f.u.
**Energy relative to the elements**: -147 meV/atom
**Electronic total energy**: -55.63 eV/cell

a b c (Å): 3.6572 3.6572 7.4251
angles (deg): 90.00 90.00 90.00
Closest atoms and distances in Å follow each position.
Space group I-4m2 (No. 119)
Unique sites:
Cr 0.0000 0.0000 0.0000 (multiplicity 2)  8 Ni 2.59-2.61, 4 Pt 2.61
Ni 0.0000 0.0000 0.5000 (multiplicity 2)  4 Cr 2.59, 4 Ni 2.61, 4 Pt 2.61
Ni 0.0000 0.5000 0.7500 (multiplicity 2)  4 Pt 2.59, 4 Ni 2.61, 4 Cr 2.61
Pt 0.0000 0.5000 0.2500 (multiplicity 2)  8 Ni 2.59-2.61, 4 Cr 2.61

What is the formula in the second record? Ce2PrZn2Au2